one | A geometry-optimized CrAuF3 structure. Source: Alexandria, functional GGA+U.

Results
Space-group type ... Pm-3m (221)
Calculated volume ... 87.4 Å³ per cell

Cell and atoms, written as extended XYZ:
```
5
Lattice="4.437 0.000 0.000 0.000 4.437 0.000 0.000 0.000 4.437" Properties=species:S:1:pos:R:3 pbc="T T T"
Cr 0.000 0.000 0.000
Au 2.219 2.219 2.219
F 0.000 2.219 2.219
F 2.219 0.000 2.219
F 2.219 2.219 0.000
```

---

two | A geometry-optimized CrAuF3 structure. Source: Alexandria, functional GGA+U.

Results
Space-group type ... Pm-3m (221)
Calculated volume ... 69.3 Å³ per cell

Cell and atoms, written as extended XYZ:
```
5
Lattice="4.107 0.000 0.000 0.000 4.107 0.000 0.000 0.000 4.107" Properties=species:S:1:pos:R:3 pbc="T T T"
Cr 0.000 0.000 0.000
Au 2.054 2.054 2.054
F 0.000 0.000 2.054
F 0.000 2.054 0.000
F 2.054 0.000 0.000
```

---

Which of them is most stable? Easy: two.